Entry 1:
The following is a PBE calculation of a geometry-optimized Na3VI structure, from Alexandria via LeMat-Bulk.

The uncorrected energy is -2.470 eV per atom. Its energy above the most stable polymorph in this dataset is 0.00 eV/f.u. The uncorrected formation energy comes out at 2.28 eV/f.u.

Cell: 5.9022 5.9022 5.9022 Å, 90.00 90.00 90.00°
Fractional positions:
I (0.0000, 0.0000, 0.0000)
Na (0.0000, 0.5000, 0.0000)
Na (0.0000, 0.0000, 0.5000)
Na (0.5000, 0.0000, 0.0000)
V (0.5000, 0.5000, 0.5000)

Entry 2:
The following is a PBE calculation of a geometry-optimized Rb2Ag2SnS4 structure, from Alexandria via LeMat-Bulk.

The uncorrected energy is -3.689 eV per atom. The uncorrected formation energy comes out at -5.06 eV/f.u.

Cell: 4.0865 7.9048 8.0156 Å, 111.82 104.77 90.00°
Fractional positions:
Rb (0.1375, 0.5595, 0.2751)
Rb (0.8625, 0.4405, 0.7249)
Ag (0.6853, 0.9684, 0.3706)
Ag (0.3147, 0.0316, 0.6294)
Sn (0.0000, 0.0000, 0.0000)
S (0.1815, 0.1746, 0.3630)
S (0.8185, 0.8254, 0.6370)
S (0.5110, 0.7800, 0.0221)
S (0.4890, 0.2200, 0.9779)

Entry 3:
The following is a PBE calculation of a geometry-optimized Ac6Ir2I3Cl structure, from Alexandria via LeMat-Bulk.

The uncorrected energy is -5.189 eV per atom. The uncorrected formation energy comes out at -13.40 eV/f.u.

Cell: 7.8019 7.8019 8.9854 Å, 98.34 98.34 119.85°
Fractional positions:
Ac (0.9364, 0.5715, 0.8111)
Ac (0.6980, 0.6980, 0.1874)
Ac (0.0636, 0.4285, 0.1889)
Ac (0.5715, 0.9364, 0.8111)
Ac (0.3020, 0.3020, 0.8126)
Ac (0.4285, 0.0636, 0.1889)
Ir (0.3330, 0.6670, 0.0000)
Ir (0.6670, 0.3330, 0.0000)
I (0.1622, 0.8378, 0.5000)
I (0.8378, 0.1622, 0.5000)
I (0.5000, 0.5000, 0.5000)
Cl (0.0000, 0.0000, 0.0000)

Entry 4:
The following is a PBE calculation of a geometry-optimized PrSnHgSb structure, from Alexandria via LeMat-Bulk.

The uncorrected energy is -3.674 eV per atom. The uncorrected formation energy comes out at -1.49 eV/f.u.

Cell: 5.4310 5.4310 5.4310 Å, 60.00 60.00 60.00°
Fractional positions:
Pr (0.7500, 0.7500, 0.7500)
Sb (0.0000, 0.0000, 0.0000)
Hg (0.5000, 0.5000, 0.5000)
Sn (0.2500, 0.2500, 0.2500)

Entry 5:
The following is a PBE calculation of a geometry-optimized CrWBr2 structure, from Alexandria via LeMat-Bulk.

The uncorrected energy is -5.516 eV per atom. Its energy above the most stable polymorph in this dataset is 3.19 eV/f.u. The uncorrected formation energy comes out at 3.86 eV/f.u.

Cell: 3.3354 3.3354 9.1711 Å, 90.00 90.00 124.70°
Fractional positions:
Br (0.0000, 0.0000, 0.9821)
Br (0.0000, 0.0000, 0.5179)
Cr (0.5000, 0.5000, 0.2500)
W (0.5000, 0.5000, 0.7500)

Entry 6:
The following is a PBE calculation of a geometry-optimized FeTe structure, from Alexandria via LeMat-Bulk.

The uncorrected energy is -5.414 eV per atom. The uncorrected formation energy comes out at 0.78 eV/f.u.

Cell: 3.4665 3.4665 7.4187 Å, 90.00 90.00 120.00°
Fractional positions:
Fe (0.3333, 0.6667, 0.2500)
Fe (0.6667, 0.3333, 0.7500)
Te (0.0000, 0.0000, 0.0000)
Te (0.0000, 0.0000, 0.5000)

Q: Which of these has the highest uncorrected formation energy?
A: CrWBr2